[1]
Pm4NdEr3 (PBE-GGA, relaxed); DOS(E_F) = 1.6112 states/eV per atom; symmetry = C2/m (12); crystal system = monoclinic; formation enthalpy at 0 K = 0.215 eV/atom
1.0
5.630 0.000 -1.122
-0.062 3.598 -0.311
-0.283 1.161 13.264
Er Nd Pm
3 1 4
direct
0.000 0.500 0.000
0.848 0.000 0.696
0.152 0.000 0.304
0.500 0.000 0.000
0.605 0.499 0.210
0.395 0.501 0.790
0.275 0.498 0.551
0.725 0.502 0.449

=====

[2]
Pm8NdEr6 (PBE-GGA, relaxed); DOS(E_F) = 1.5007 states/eV per atom; symmetry = R-3 (148); crystal system = trigonal; formation enthalpy at 0 K = 0.130 eV/atom
1.0
7.874 0.000 4.535
2.631 7.422 4.535
0.224 0.158 8.715
Pm Nd Er
8 1 6
direct
0.887 0.283 0.580
0.750 0.113 0.420
0.717 0.750 0.420
0.423 0.423 0.732
0.577 0.577 0.268
0.283 0.250 0.580
0.250 0.887 0.580
0.113 0.717 0.420
0.000 0.000 0.000
0.097 0.536 0.117
0.751 0.903 0.883
0.464 0.751 0.883
0.536 0.249 0.117
0.249 0.097 0.117
0.903 0.464 0.883

=====

[3]
Pm4Nd3Er (PBE-GGA, relaxed); DOS(E_F) = 1.6777 states/eV per atom; symmetry = C2/m (12); crystal system = monoclinic; formation enthalpy at 0 K = 0.151 eV/atom
1.0
-2.214 2.681 0.539
-5.150 -4.483 1.145
6.231 0.780 10.225
Er Nd Pm
1 3 4
direct
0.500 0.000 0.000
0.000 0.500 0.000
0.124 0.885 0.248
0.876 0.115 0.752
0.742 0.244 0.483
0.258 0.756 0.517
0.124 0.363 0.247
0.876 0.637 0.753

=====

[4]
Pm7NdEr2 (PBE-GGA, relaxed); DOS(E_F) = 1.4359 states/eV per atom; symmetry = Cmmm (65); crystal system = orthorhombic; formation enthalpy at 0 K = 0.648 eV/atom
1.0
5.736 0.000 0.000
0.000 9.199 -0.425
0.000 -4.529 8.018
Pm Nd Er
7 1 2
direct
0.000 0.773 0.227
0.000 0.227 0.773
0.500 0.063 0.295
0.500 0.937 0.705
0.500 0.295 0.063
0.500 0.705 0.937
0.500 0.500 0.500
0.000 0.000 0.000
0.500 0.704 0.296
0.500 0.296 0.704